1.
! Sm3In3Hg2 PBE-GGA optimized geometry; values from VASP
&SYSTEM
  ibrav = 0, nat = 16, ntyp = 3
/
ATOMIC_SPECIES
Sm 150.36 Sm.upf
In 114.82 In.upf
Hg 200.59 Hg.upf
CELL_PARAMETERS angstrom
4.779 0.000 0.000
-2.389 5.723 0.000
0.000 0.000 15.811
ATOMIC_POSITIONS crystal
Sm 0.918 0.836 0.389
Sm 0.082 0.164 0.889
Sm 0.918 0.836 0.111
Sm 0.082 0.164 0.611
Sm 0.657 0.314 0.250
Sm 0.343 0.686 0.750
In 0.614 0.229 0.460
In 0.386 0.771 0.960
In 0.614 0.229 0.040
In 0.386 0.771 0.540
In 0.377 0.754 0.250
In 0.623 0.246 0.750
Hg 0.789 0.578 0.891
Hg 0.211 0.422 0.391
Hg 0.789 0.578 0.609
Hg 0.211 0.422 0.109
! raw total energy: -3.321 eV per atom
! SG: No. 63
! energy relative to the elements: -0.449 eV per atom
! distance to the lowest polymorph of the same formula: 0 meV/atom

---

2.
! Rb2TlBr6O PBE-GGA optimized geometry; values from VASP
&SYSTEM
  ibrav = 0, nat = 10, ntyp = 4
/
ATOMIC_SPECIES
O 16.00 O.upf
Tl 204.38 Tl.upf
Br 79.90 Br.upf
Rb 85.47 Rb.upf
CELL_PARAMETERS angstrom
-5.171 -2.772 -5.980
6.109 -4.870 -3.024
-1.026 -7.581 -1.468
ATOMIC_POSITIONS crystal
O 0.500 0.500 0.000
Tl 0.000 0.000 0.000
Br 0.294 0.294 0.413
Br 0.706 0.706 0.587
Br 0.230 0.230 0.000
Br 0.770 0.770 0.000
Br 0.770 0.230 0.000
Br 0.230 0.770 0.000
Rb 0.750 0.250 0.500
Rb 0.250 0.750 0.500
! formation energy without anion corrections: -0.69 eV per atom
! raw total energy: -2.615 eV per atom
! SG: No. 139